# CeDy3

A relaxed CeDy3 crystal (GGA-PBE, the Alexandria database).

Output
D(E_F) in states/eV/cell: 17.81
Final energy in eV per atom: -4.853
Crystal system: tetragonal

abc: 5.0084 5.0084 10.0079
angles: 90.00 90.00 90.00
With the nearest neighbours (Å) after each atom.
Space group I4/mmm (No. 139)
Inequivalent atoms, fractional coordinates:
Ce: 0.0000 0.0000 0.0000  12 Dy 3.54
Dy: 0.0000 0.0000 0.5000  8 Dy 3.54, 4 Ce 3.54
Dy: 0.0000 0.5000 0.2500  8 Dy 3.54, 4 Ce 3.54


# CeDy2Er12

A relaxed CeDy2Er12 crystal (GGA-PBE, the Alexandria database).

Output
D(E_F) in states/eV/cell: 26.60
Final energy in eV per atom: -4.540
Crystal system: monoclinic

abc: 3.5238 5.5563 23.9233
angles: 90.00 94.10 90.00
With the nearest neighbours (Å) after each atom.
Space group P2/m (No. 10)
Inequivalent atoms, fractional coordinates:
Ce: 0.0000 0.0000 0.0000  2 Ce 3.52, 12 Er 3.66-3.70
Dy: 0.3572 0.0000 0.7190  7 Er 3.45-3.83, 2 Dy 3.52
Er: 0.0944 0.5000 0.1930  9 Er 3.26-3.56
Er: 0.1678 0.5000 0.3296  7 Er 3.26-3.57, 4 Dy 3.49
Er: 0.2133 0.0000 0.4234  8 Er 3.33-3.57
Er: 0.2765 0.5000 0.5554  10 Er 3.17-3.52
Er: 0.4343 0.0000 0.8637  8 Er 3.23-3.56, 1 Dy 3.45
Er: 0.4668 0.5000 0.9330  7 Er 3.20-3.52


Question: Number 2 is which compound?
Answer: CeDy2Er12